# 1
Entry from Alexandria via LeMat-Bulk: an optimized crystal structure of HfAg2F (PBE-GGA).

Cell and atoms, written as CIF:
```
data_HfAg2F
_chemical_formula_sum 'Hf4 Ag8 F4'
_symmetry_space_group_name_H-M 'F m -3 m'
_symmetry_Int_Tables_number 225
_symmetry_space_group_name_Hall '-F 4 2 3'
_cell_length_a 6.5804
_cell_length_b 6.5804
_cell_length_c 6.5804
_cell_angle_alpha 90.00
_cell_angle_beta 90.00
_cell_angle_gamma 90.00
loop_
_atom_site_label
_atom_site_type_symbol
_atom_site_fract_x
_atom_site_fract_y
_atom_site_fract_z
Hf1 Hf 0.0000 0.0000 0.0000
Ag1 Ag 0.2500 0.2500 0.2500
F1 F 0.0000 0.0000 0.5000
```

Values from the calculation:
- Energy above the most stable polymorph in this dataset: 320 meV/atom

***

# 2
Entry from Alexandria via LeMat-Bulk: an optimized crystal structure of HfAg2F6 (PBE-GGA).

Cell and atoms, written as CIF:
```
data_HfAg2F6
_chemical_formula_sum 'Hf2 Ag4 F12'
_symmetry_space_group_name_H-M 'P 42/m n m'
_symmetry_Int_Tables_number 136
_symmetry_space_group_name_Hall '-P 4n 2n'
_cell_length_a 5.3998
_cell_length_b 5.3998
_cell_length_c 10.8114
_cell_angle_alpha 90.00
_cell_angle_beta 90.00
_cell_angle_gamma 90.00
loop_
_atom_site_label
_atom_site_type_symbol
_atom_site_fract_x
_atom_site_fract_y
_atom_site_fract_z
Hf1 Hf 0.0000 0.0000 0.0000
Ag1 Ag 0.0000 0.0000 0.3392
F1 F 0.1819 0.1819 0.1355
F2 F 0.2370 0.2370 0.5000
```

Values from the calculation:
- Energy above the most stable polymorph in this dataset: 0 meV/atom

***

# 3
Entry from Alexandria via LeMat-Bulk: an optimized crystal structure of Hf2Ag2F (PBE-GGA).

Cell and atoms, written as CIF:
```
data_Hf2Ag2F
_chemical_formula_sum 'Hf4 Ag4 F2'
_symmetry_space_group_name_H-M 'P 4/m b m'
_symmetry_Int_Tables_number 127
_symmetry_space_group_name_Hall '-P 4 2ab'
_cell_length_a 8.0413
_cell_length_b 8.0413
_cell_length_c 3.1221
_cell_angle_alpha 90.00
_cell_angle_beta 90.00
_cell_angle_gamma 90.00
loop_
_atom_site_label
_atom_site_type_symbol
_atom_site_fract_x
_atom_site_fract_y
_atom_site_fract_z
Hf1 Hf 0.1737 0.3263 0.0000
Ag1 Ag 0.1242 0.6242 0.5000
F1 F 0.0000 0.0000 0.5000
```

Values from the calculation:
- Energy above the most stable polymorph in this dataset: 708 meV/atom

***

Calculated uncorrected formation energy (meV per atom), listed in the same order as above: -81; -2591; 49